9
Lattice="7.263 -1.798 0.000 7.263 1.798 0.000 -1.594 0.000 8.623" Properties=species:S:1:pos:R:3 comment="Cd2In2GaHg4 | the Alexandria database | PBE | optimized geometry" magmom_total_mub_per_atom=0.000 formation_energy_ev_per_atom=0.037 sg=C2/m pbc="T T T"
Cd 1.617 0.000 3.927
Cd 11.315 0.000 4.697
In 3.774 0.000 7.894
In 9.159 0.000 0.730
Ga 6.466 0.000 4.312
Hg -1.051 0.000 6.883
Hg 4.106 0.000 2.085
Hg 8.827 0.000 6.538
Hg 13.984 0.000 1.740